Entry 1:
Material: CaNd5Y2
Method: DFT, PBE
State: relaxed

Cell and atoms, written as extended XYZ:
```
16
Lattice="-7.536 -3.400 6.480 8.147 -6.056 2.700 1.982 -3.798 10.891" Properties=species:S:1:pos:R:3 pbc="T T T"
Nd -2.613 -4.510 6.196
Nd 1.592 -5.811 7.122
Nd 6.625 -6.019 3.791
Nd 5.207 -8.744 13.875
Nd -4.032 -7.235 16.281
Nd 1.002 -7.442 12.949
Nd 7.364 -7.434 7.849
Nd -4.770 -5.819 12.223
Nd -1.936 -5.803 9.913
Nd 4.530 -7.451 10.159
Ca 8.130 -8.650 11.231
Ca -5.537 -4.604 8.841
Y 0.306 -4.728 4.590
Y 5.065 -4.927 6.796
Y 1.297 -6.627 10.036
Y -3.768 -1.700 3.240
```

Computed properties:
- formation energy from the elements (kJ/mol of atoms) = 24
- DFT total energy (eV/atom) = -4.598
- ρ (Mg/m³) = 5.4

***

Entry 2:
Material: CaNd8Y4
Method: DFT, PBE
State: relaxed

Cell and atoms, written as extended XYZ:
```
13
Lattice="-2.741 -3.108 -3.117 -0.703 -5.904 2.192 -14.825 7.731 1.015" Properties=species:S:1:pos:R:3 pbc="T T T"
Nd -14.911 4.097 0.401
Nd -6.244 0.009 1.169
Nd -12.432 0.004 2.302
Nd -12.024 -1.291 -1.078
Nd -6.387 -3.610 0.590
Nd -3.357 -5.378 -0.311
Nd -5.836 -1.286 -2.211
Nd -11.881 2.329 -0.500
Y -15.029 0.537 -0.258
Y -9.409 -1.782 1.424
Y -3.239 -1.818 0.348
Y -8.859 0.500 -1.334
Ca 0.000 0.000 0.000
```

Computed properties:
- formation energy from the elements (kJ/mol of atoms) = 3
- DFT total energy (eV/atom) = -5.042
- ρ (Mg/m³) = 5.7

***

Entry 3:
Material: CaNd2Y3
Method: DFT, PBE
State: relaxed

Cell and atoms, written as extended XYZ:
```
12
Lattice="-1.796 5.648 3.281 -2.902 -1.545 -5.923 -7.837 -5.565 5.292" Properties=species:S:1:pos:R:3 pbc="T T T"
Nd -3.919 -2.782 2.646
Nd 0.000 0.000 0.000
Nd -7.030 -2.340 0.181
Nd -5.504 0.879 2.468
Y -3.303 -1.003 -0.081
Y -6.912 -2.485 4.035
Y -7.799 0.304 5.655
Y -5.623 1.023 -1.386
Y -4.736 -1.766 -3.006
Y -9.232 -0.458 2.730
Ca -2.666 2.894 0.551
Ca -9.869 -4.356 2.098
```

Computed properties:
- formation energy from the elements (kJ/mol of atoms) = 22
- DFT total energy (eV/atom) = -4.930
- ρ (Mg/m³) = 4.5

***

Entry 4:
Material: Ca2Nd6Y3
Method: DFT, PBE
State: relaxed

Cell and atoms, written as extended XYZ:
```
11
Lattice="-1.358 1.156 3.209 1.881 -0.568 3.101 15.591 29.410 -1.896" Properties=species:S:1:pos:R:3 pbc="T T T"
Nd 8.900 16.462 4.136
Nd 11.540 21.733 -0.845
Nd 14.411 27.039 0.558
Nd 7.214 13.536 0.277
Nd 4.574 8.264 5.259
Nd 1.703 2.958 3.855
Ca 10.222 19.102 1.645
Ca 5.892 10.896 2.768
Y 0.000 0.000 0.000
Y 2.896 5.353 1.397
Y 13.218 24.644 3.016
```

Computed properties:
- formation energy from the elements (kJ/mol of atoms) = 2
- DFT total energy (eV/atom) = -4.703
- ρ (Mg/m³) = 5.2

***

Repeat the third record exactly.
Material: CaNd2Y3
Method: DFT, PBE
State: relaxed

Cell and atoms, written as extended XYZ:
```
12
Lattice="-1.796 5.648 3.281 -2.902 -1.545 -5.923 -7.837 -5.565 5.292" Properties=species:S:1:pos:R:3 pbc="T T T"
Nd -3.919 -2.782 2.646
Nd 0.000 0.000 0.000
Nd -7.030 -2.340 0.181
Nd -5.504 0.879 2.468
Y -3.303 -1.003 -0.081
Y -6.912 -2.485 4.035
Y -7.799 0.304 5.655
Y -5.623 1.023 -1.386
Y -4.736 -1.766 -3.006
Y -9.232 -0.458 2.730
Ca -2.666 2.894 0.551
Ca -9.869 -4.356 2.098
```

Computed properties:
- formation energy from the elements (kJ/mol of atoms) = 22
- DFT total energy (eV/atom) = -4.930
- ρ (Mg/m³) = 4.5

***

- The lowest ρ belongs to which entry?
  CaNd2Y3